(1)
A geometry-optimized Hf3InNi structure. Source: the Alexandria database, functional GGA-PBEsol.

Values from the calculation:
calculated volume	133	Å³/f.u.
theoretical density	8.88	g/cm³
E	-6.4136	eV per atom

Structure (CIF):
```
data_Hf3InNi
_cell_length_a 5.098
_cell_length_b 5.098
_cell_length_c 5.098
_cell_angle_alpha 90.00
_cell_angle_beta 90.00
_cell_angle_gamma 90.00
_space_group_name_H-M_alt 'P m -3 m'
_space_group_IT_number 221
_space_group_name_Hall '-P 4 2 3'
loop_
_atom_site_label
_atom_site_type_symbol
_atom_site_fract_x
_atom_site_fract_y
_atom_site_fract_z
_atom_site_occupancy
Hf1 Hf 0.000 0.000 0.500 1
In1 In 0.000 0.000 0.000 1
Ni1 Ni 0.500 0.500 0.500 1
```

(2)
A geometry-optimized HfInNi2 structure. Source: the Alexandria database, functional GGA-PBEsol.

Values from the calculation:
calculated volume	62	Å³/f.u.
theoretical density	11.08	g/cm³
E	-6.8267	eV per atom

Structure (CIF):
```
data_HfInNi2
_cell_length_a 3.173
_cell_length_b 3.173
_cell_length_c 6.113
_cell_angle_alpha 90.00
_cell_angle_beta 90.00
_cell_angle_gamma 90.00
_space_group_name_H-M_alt 'P 4/m m m'
_space_group_IT_number 123
_space_group_name_Hall '-P 4 2'
loop_
_atom_site_label
_atom_site_type_symbol
_atom_site_fract_x
_atom_site_fract_y
_atom_site_fract_z
_atom_site_occupancy
Hf1 Hf 0.000 0.000 0.000 1
In1 In 0.000 0.000 0.500 1
Ni1 Ni 0.500 0.500 0.226 1
```